Entry 1:
A plane-wave DFT calculation with PBE-GGA was carried out for a relaxed structure of AlPd4Pb.

The structure in POSCAR format:
```
AlPd4Pb
1.0
-0.721 2.944 -3.510
-4.482 -2.635 -1.290
-4.406 4.995 5.102
Al Pd Pb
2 8 2
Cartesian
-2.563 3.970 0.796 Al
-4.444 1.180 1.906 Al
-4.220 2.406 -3.241 Pd
-4.260 5.246 2.217 Pd
-3.700 2.139 -0.506 Pd
-6.930 0.880 2.166 Pd
-5.388 2.898 3.543 Pd
-5.349 0.058 -1.914 Pd
-5.908 3.165 0.809 Pd
-2.678 4.424 -1.863 Pd
0.000 0.000 0.000 Pb
-2.601 0.154 -2.400 Pb
```

Values from the calculation:
Energy relative to the elements = -2.61 eV per formula unit
Volume = 17.37 Å³ per atom

Entry 2:
A plane-wave DFT calculation with PBE-GGA was carried out for a relaxed structure of InTe2W.

The structure in POSCAR format:
```
InTe2W
1.0
3.224 0.000 0.000
0.000 3.224 0.000
0.000 0.000 9.783
In Te W
1 2 1
Cartesian
1.612 1.612 6.812 In
0.000 0.000 9.512 Te
1.612 1.612 3.263 Te
0.000 0.000 4.872 W
```

Values from the calculation:
Raw formation energy = 0.338 eV/atom
Volume = 25.42 Å³ per atom

Entry 3:
A plane-wave DFT calculation with PBE-GGA was carried out for a relaxed structure of PmLu2Se.

The structure in POSCAR format:
```
PmLu2Se
1.0
-2.934 2.084 -0.455
-1.273 0.637 -3.336
-7.487 -7.502 -0.546
Lu Se Pm
2 1 1
Cartesian
-5.503 -4.760 -0.780 Lu
-6.191 -0.022 -3.557 Lu
-5.847 -2.391 -2.169 Se
0.000 0.000 0.000 Pm
```

Values from the calculation:
Raw formation energy = -0.511 eV/atom
Volume = 29.64 Å³ per atom

Entry 4:
A plane-wave DFT calculation with PBE-GGA was carried out for a relaxed structure of GaPtRh.

The structure in POSCAR format:
```
GaPtRh
1.0
2.831 0.000 0.000
0.000 4.286 0.000
0.000 -2.143 3.712
Rh Ga Pt
1 1 1
Cartesian
1.112 0.000 2.475 Rh
1.975 2.143 1.237 Ga
2.573 0.000 0.000 Pt
```

Values from the calculation:
Energy relative to the elements = -1.07 eV per formula unit
Offset from the most stable computed form = 92 meV per atom
Volume = 15.01 Å³ per atom

Entry 5:
A plane-wave DFT calculation with PBE-GGA was carried out for a relaxed structure of Zn3Se.

The structure in POSCAR format:
```
Zn3Se
1.0
2.738 0.000 0.000
0.000 3.842 0.000
0.000 0.000 6.730
Se Zn
1 3
Cartesian
0.000 0.000 0.000 Se
1.369 1.921 4.862 Zn
0.000 0.000 3.365 Zn
1.369 1.921 1.868 Zn
```

Values from the calculation:
Offset from the most stable computed form = 273 meV per atom
Raw formation energy = 0.107 eV/atom
Volume = 17.70 Å³ per atom

Entry 6:
A plane-wave DFT calculation with PBE-GGA was carried out for a relaxed structure of LaTb3Sb2.

The structure in POSCAR format:
```
LaTb3Sb2
1.0
-0.586 4.333 0.598
-1.487 -1.002 -10.477
-6.846 -1.862 6.783
La Tb Sb
2 6 4
Cartesian
-7.847 1.393 -1.494 La
-1.072 0.076 -1.602 La
-4.602 -0.225 -2.872 Tb
-5.700 2.154 -4.905 Tb
-6.355 0.990 2.884 Tb
-2.564 0.479 -5.980 Tb
-3.218 -0.685 1.809 Tb
-4.317 1.695 -0.224 Tb
-7.342 -0.388 -4.374 Sb
-1.577 1.858 1.278 Sb
-2.730 2.347 -3.392 Sb
-6.189 -0.878 0.296 Sb
```

Values from the calculation:
Raw formation energy = -0.725 eV/atom
Volume = 30.62 Å³ per atom

Entry 7:
A plane-wave DFT calculation with PBE-GGA was carried out for a relaxed structure of CrTcW2.

The structure in POSCAR format:
```
CrTcW2
1.0
-2.066 -0.127 -1.876
-1.035 -2.250 1.292
-4.289 4.509 4.419
Cr Tc W
1 1 2
Cartesian
-2.240 2.355 2.308 Cr
-4.629 2.048 2.880 Tc
-4.228 4.445 4.356 W
-2.725 0.047 0.919 W
```

Values from the calculation:
Energy relative to the elements = 0.99 eV per formula unit
Offset from the most stable computed form = 230 meV per atom
Volume = 14.89 Å³ per atom

Entry 8:
A plane-wave DFT calculation with PBE-GGA was carried out for a relaxed structure of GePdW.

The structure in POSCAR format:
```
GePdW
1.0
-2.450 0.386 1.353
1.264 -2.621 0.087
6.531 3.511 10.822
W Pd Ge
2 2 2
Cartesian
0.036 -2.202 0.693 W
3.301 -0.403 6.090 W
0.956 0.036 4.670 Pd
3.168 1.225 8.335 Pd
5.446 2.376 9.182 Ge
1.103 0.040 1.985 Ge
```

Values from the calculation:
Energy relative to the elements = 0.21 eV per formula unit
Volume = 15.73 Å³ per atom

Entry 9:
A plane-wave DFT calculation with PBE-GGA was carried out for a relaxed structure of Mg2Si3.

The structure in POSCAR format:
```
Mg2Si3
1.0
-1.618 4.253 -2.827
-4.860 -0.769 1.376
2.647 6.868 12.709
Mg Si
8 12
Cartesian
-0.015 7.907 9.518 Mg
-4.516 2.604 1.692 Mg
-1.241 7.070 12.382 Mg
-1.943 3.819 -2.206 Mg
-2.485 4.899 1.945 Mg
-1.797 5.290 9.973 Mg
-0.638 3.876 4.155 Mg
-1.575 3.470 7.381 Mg
-1.532 1.644 -0.675 Si
-4.425 4.401 -0.469 Si
-2.735 8.392 9.632 Si
-1.734 2.178 1.705 Si
-0.432 6.601 3.172 Si
-3.455 6.740 8.035 Si
-3.118 4.773 4.802 Si
-0.448 7.855 5.194 Si
-2.899 2.445 5.243 Si
-1.783 6.080 6.416 Si
0.135 5.731 7.898 Si
-4.315 0.877 4.078 Si
```

Values from the calculation:
Offset from the most stable computed form = 102 meV per atom
Raw formation energy = 0.131 eV/atom
Volume = 19.89 Å³ per atom

Entry 10:
A plane-wave DFT calculation with PBE-GGA was carried out for a relaxed structure of CaOsSe2.

The structure in POSCAR format:
```
CaOsSe2
1.0
4.750 -0.001 0.000
0.001 4.750 0.000
0.000 0.000 3.255
Ca Os Se
1 1 2
Cartesian
2.375 0.000 1.627 Ca
0.001 2.375 1.627 Os
0.000 0.000 0.000 Se
2.376 2.375 0.000 Se
```

Values from the calculation:
Offset from the most stable computed form = 447 meV per atom
Raw formation energy = -0.189 eV/atom
Volume = 18.36 Å³ per atom

Entry 11:
A plane-wave DFT calculation with PBE-GGA was carried out for a relaxed structure of Mg3MoBr.

The structure in POSCAR format:
```
Mg3MoBr
1.0
-4.670 -0.043 -2.891
-1.465 -4.700 2.436
-2.493 2.842 3.985
Mo Mg Br
1 3 1
Cartesian
0.000 0.000 0.000 Mo
-0.732 -2.350 1.218 Mg
-1.246 1.421 1.992 Mg
-2.335 -0.022 -1.445 Mg
-4.314 -0.951 1.765 Br
```

Values from the calculation:
Offset from the most stable computed form = 0 meV per atom
Raw formation energy = 0.826 eV/atom
Volume = 33.14 Å³ per atom

Entry 12:
A plane-wave DFT calculation with PBE-GGA was carried out for a relaxed structure of CaZn2Fe.

The structure in POSCAR format:
```
CaZn2Fe
1.0
-1.916 2.377 -3.916
-3.892 -1.527 2.679
0.049 2.554 1.527
Zn Ca Fe
2 1 1
Cartesian
0.000 0.000 0.000 Zn
-2.904 0.425 -0.618 Zn
-0.933 2.466 -1.194 Ca
-1.921 0.514 2.103 Fe
```

Values from the calculation:
Energy relative to the elements = 1.15 eV per formula unit
Volume = 17.66 Å³ per atom

Entry 13:
A plane-wave DFT calculation with PBE-GGA was carried out for a relaxed structure of ScCo2Ru.

The structure in POSCAR format:
```
ScCo2Ru
1.0
-3.444 -1.649 1.415
1.337 -2.409 0.447
1.800 0.209 4.624
Co Ru Sc
2 1 1
Cartesian
2.034 -0.271 4.634 Co
-1.155 -0.872 2.031 Co
1.400 -1.048 2.186 Ru
0.783 -2.549 4.793 Sc
```

Values from the calculation:
Energy relative to the elements = -0.19 eV per formula unit
Offset from the most stable computed form = 43 meV per atom
Volume = 13.52 Å³ per atom

Entry 14:
A plane-wave DFT calculation with PBE-GGA was carried out for a relaxed structure of Mg14MnCo.

The structure in POSCAR format:
```
Mg14MnCo
1.0
3.110 -5.387 0.000
3.110 5.387 0.000
0.000 0.000 9.917
Mg Mn Co
14 1 1
Cartesian
1.571 2.684 0.000 Mg
4.652 -2.686 4.958 Mg
4.649 2.684 0.000 Mg
1.569 -2.686 4.958 Mg
3.110 0.018 0.000 Mg
3.110 -0.016 4.958 Mg
3.110 3.667 2.555 Mg
3.110 3.667 7.362 Mg
1.489 0.860 2.555 Mg
1.489 0.860 7.362 Mg
4.731 0.860 2.555 Mg
4.731 0.860 7.362 Mg
3.110 -1.796 2.447 Mg
3.110 -1.796 7.470 Mg
0.000 0.000 0.000 Mn
0.000 0.000 4.958 Co
```

Values from the calculation:
Energy relative to the elements = 1.67 eV per formula unit
Offset from the most stable computed form = 12 meV per atom
Volume = 20.77 Å³ per atom

Entry 15:
A plane-wave DFT calculation with PBE-GGA was carried out for a relaxed structure of LiS5.

The structure in POSCAR format:
```
LiS5
1.0
3.451 1.061 -2.279
1.271 8.507 -8.033
-4.466 -5.818 12.482
Li S
1 5
Cartesian
-2.682 -1.381 7.725 Li
-2.318 2.901 3.755 S
1.519 2.119 -1.159 S
-0.959 1.636 2.866 S
1.166 5.774 -2.661 S
2.590 6.870 -4.710 S
```

Values from the calculation:
Raw formation energy = -0.186 eV/atom
Volume = 26.10 Å³ per atom

Entry 16:
A plane-wave DFT calculation with PBE-GGA was carried out for a relaxed structure of BeRhF.

The structure in POSCAR format:
```
BeRhF
1.0
-2.710 1.754 1.211
-2.122 -2.406 -1.264
0.335 -2.888 4.932
Be Rh F
2 2 2
Cartesian
-0.838 -3.130 2.659 Be
-1.244 -0.083 2.247 Be
-1.044 -1.350 -0.381 Rh
-1.037 -1.864 5.287 Rh
0.168 -1.444 2.466 F
-2.249 -1.769 2.440 F
```

Values from the calculation:
Offset from the most stable computed form = 514 meV per atom
Raw formation energy = -0.932 eV/atom
Volume = 11.35 Å³ per atom

Entry 17:
A plane-wave DFT calculation with PBE-GGA was carried out for a relaxed structure of CsCa3C.

The structure in POSCAR format:
```
CsCa3C
1.0
-0.226 -4.626 -2.878
4.267 1.641 -2.972
3.388 -2.375 3.552
Cs Ca C
1 3 1
Cartesian
3.714 -2.680 -1.149 Cs
2.133 0.820 -1.486 Ca
1.694 -1.187 1.776 Ca
-0.113 -2.313 -1.439 Ca
0.000 0.000 0.000 C
```

Values from the calculation:
Energy relative to the elements = 2.46 eV per formula unit
Offset from the most stable computed form = 0 meV per atom
Volume = 32.42 Å³ per atom

Entry 18:
A plane-wave DFT calculation with PBE-GGA was carried out for a relaxed structure of TlFeCo3.

The structure in POSCAR format:
```
TlFeCo3
1.0
4.700 0.000 0.000
0.000 4.700 0.000
0.000 0.000 4.700
Tl Co Fe
1 3 1
Cartesian
0.000 0.000 0.000 Tl
0.000 2.350 0.000 Co
0.000 0.000 2.350 Co
2.350 0.000 0.000 Co
2.350 2.350 2.350 Fe
```

Values from the calculation:
Energy relative to the elements = 11.67 eV per formula unit
Offset from the most stable computed form = 1323 meV per atom
Volume = 20.76 Å³ per atom

Entry 19:
A plane-wave DFT calculation with PBE-GGA was carried out for a relaxed structure of TbNd2Sm3.

The structure in POSCAR format:
```
TbNd2Sm3
1.0
3.593 0.000 0.000
0.000 9.737 1.175
0.000 -0.728 11.689
Tb Nd Sm
2 4 6
Cartesian
0.898 7.114 5.044 Tb
2.695 1.895 7.820 Tb
0.898 3.686 10.536 Nd
2.695 5.323 2.328 Nd
2.695 0.543 4.524 Nd
0.898 8.466 8.340 Nd
2.695 8.899 2.480 Sm
0.898 0.110 10.384 Sm
2.695 6.827 10.955 Sm
0.898 2.182 1.909 Sm
0.898 3.615 5.134 Sm
2.695 5.394 7.730 Sm
```

Values from the calculation:
Energy relative to the elements = 0.39 eV per formula unit
Offset from the most stable computed form = 0 meV per atom
Volume = 34.33 Å³ per atom

Entry 20:
A plane-wave DFT calculation with PBE-GGA was carried out for a relaxed structure of MoHRh2.

The structure in POSCAR format:
```
MoHRh2
1.0
-0.986 -1.524 -2.078
2.012 -1.845 0.398
-3.687 -3.145 4.058
H Mo Rh
1 1 2
Cartesian
0.513 -1.685 -0.840 H
-1.331 -3.257 1.189 Mo
-2.928 -2.497 3.222 Rh
-0.759 -0.647 0.835 Rh
```

Values from the calculation:
Offset from the most stable computed form = 256 meV per atom
Volume = 12.03 Å³ per atom